Record 1
VASP calculation (PBE) on a relaxed structure of CdIrF2.

a b c (Å): 8.6612 8.6612 8.6612
angles (deg): 18.94 18.94 18.94
Each line ends with the local moment (μB).
Element x y z (fractional)
1 F 0.9049 0.9049 0.9049  0.15
2 F 0.0951 0.0951 0.0951  0.15
3 Ir 0.5000 0.5000 0.5000  1.89
4 Cd 0.0000 0.0000 0.0000  0.02

Calculated values
Space group ... R-3m (166)
E_form (uncorrected) ... -0.342 eV/atom
ΔE to the lowest computed polymorph ... 552 meV per atom

---

Record 2
VASP calculation (PBE) on a relaxed structure of CdIrF3.

a b c (Å): 4.3988 4.3988 4.3988
angles (deg): 90.00 90.00 90.00
Each line ends with the local moment (μB).
Element x y z (fractional)
1 F 0.0000 0.5000 0.0000  0.04
2 F 0.0000 0.0000 0.5000  0.03
3 F 0.5000 0.0000 0.0000  0.03
4 Ir 0.5000 0.5000 0.5000  2.21
5 Cd 0.0000 0.0000 0.0000  0.00

Calculated values
Space group ... Pm-3m (221)
E_form (uncorrected) ... -0.428 eV/atom
ΔE to the lowest computed polymorph ... 261 meV per atom

---

Record 3
VASP calculation (PBE) on a relaxed structure of Cd2IrF.

a b c (Å): 4.5946 4.5946 4.5946
angles (deg): 60.00 60.00 60.00
Element x y z (fractional)
1 F 0.0000 0.0000 0.0000
2 Ir 0.5000 0.5000 0.5000
3 Cd 0.2500 0.2500 0.2500
4 Cd 0.7500 0.7500 0.7500

Calculated values
Space group ... Fm-3m (225)
E_form (uncorrected) ... -0.130 eV/atom
ΔE to the lowest computed polymorph ... 82 meV per atom

---

Record 4
VASP calculation (PBE) on a relaxed structure of CdIrF3.

a b c (Å): 4.2727 4.2727 4.2727
angles (deg): 90.00 90.00 90.00
Element x y z (fractional)
1 F 0.0000 0.5000 0.0000
2 F 0.0000 0.0000 0.5000
3 F 0.5000 0.0000 0.0000
4 Ir 0.0000 0.0000 0.0000
5 Cd 0.5000 0.5000 0.5000

Calculated values
Space group ... Pm-3m (221)
E_form (uncorrected) ... -0.689 eV/atom
ΔE to the lowest computed polymorph ... 0 meV per atom

---

Record 5
VASP calculation (PBE) on a relaxed structure of Cd2IrF.

a b c (Å): 6.7625 6.7625 5.7174
angles (deg): 53.74 53.74 90.00
Element x y z (fractional)
1 F 0.5000 0.5000 0.0000
2 F 0.2500 0.7500 0.5000
3 Ir 0.0000 0.0000 0.0000
4 Ir 0.7500 0.2500 0.5000
5 Cd 0.5805 0.1250 0.2500
6 Cd 0.1695 0.6250 0.2500
7 Cd 0.3750 0.4195 0.7500
8 Cd 0.8750 0.8305 0.7500

Calculated values
Space group ... I-42d (122)
E_form (uncorrected) ... -0.212 eV/atom
ΔE to the lowest computed polymorph ... 0 meV per atom

---

Record 6
VASP calculation (PBE) on a relaxed structure of CdIrF2.

a b c (Å): 7.0283 7.0283 5.6402
angles (deg): 51.46 51.46 90.00
Element x y z (fractional)
1 F 0.7188 0.1250 0.2500
2 F 0.0312 0.6250 0.2500
3 F 0.3750 0.2812 0.7500
4 F 0.8750 0.9688 0.7500
5 Ir 0.0000 0.0000 0.0000
6 Ir 0.7500 0.2500 0.5000
7 Cd 0.5000 0.5000 0.0000
8 Cd 0.2500 0.7500 0.5000

Calculated values
Space group ... I-42d (122)
E_form (uncorrected) ... -0.316 eV/atom
ΔE to the lowest computed polymorph ... 578 meV per atom

---

Record 7
VASP calculation (PBE) on a relaxed structure of CdIrF2.

a b c (Å): 4.3113 4.3113 4.3113
angles (deg): 60.00 60.00 60.00
Each line ends with the local moment (μB).
Element x y z (fractional)
1 F 0.2500 0.2500 0.2500  0.10
2 F 0.7500 0.7500 0.7500  0.10
3 Ir 0.5000 0.5000 0.5000  1.65
4 Cd 0.0000 0.0000 0.0000  -0.04

Calculated values
Space group ... Fm-3m (225)
E_form (uncorrected) ... -0.167 eV/atom
ΔE to the lowest computed polymorph ... 727 meV per atom

---

Record 8
VASP calculation (PBE) on a relaxed structure of Cd2IrF8.

a b c (Å): 4.3513 6.7658 6.7658
angles (deg): 120.00 90.00 90.00
Each line ends with the local moment (μB).
Element x y z (fractional)
1 F 0.7764 0.6667 0.3333  0.00
2 F 0.2236 0.3333 0.6667  0.00
3 F 0.2558 0.2821 0.1411  0.04
4 F 0.7442 0.7179 0.8589  0.04
5 F 0.7442 0.1411 0.8589  0.04
6 F 0.2558 0.8589 0.1411  0.04
7 F 0.2558 0.8589 0.7179  0.04
8 F 0.7442 0.1411 0.2821  0.04
9 Ir 0.5000 0.0000 0.0000  0.71
10 Cd 0.7234 0.3333 0.6667  0.00
11 Cd 0.2766 0.6667 0.3333  0.00

Calculated values
Space group ... P-3m1 (164)
E_form (uncorrected) ... -1.767 eV/atom

---

Record 9
VASP calculation (PBE) on a relaxed structure of KCdIrF6.

a b c (Å): 5.8828 5.8828 10.5755
angles (deg): 90.00 90.00 120.00
Each line ends with the local moment (μB).
Element x y z (fractional)
1 K 0.0000 0.0000 0.0000  0.00
2 K 0.0000 0.0000 0.5000  0.00
3 Cd 0.3333 0.6667 0.2500  0.00
4 Cd 0.6667 0.3333 0.7500  0.00
5 Ir 0.6667 0.3333 0.2500  0.13
6 Ir 0.3333 0.6667 0.7500  0.13
7 F 0.6533 0.6212 0.1491  0.00
8 F 0.9679 0.3467 0.1491  0.00
9 F 0.3467 0.9679 0.6491  0.00
10 F 0.0321 0.6533 0.8509  0.00
11 F 0.3788 0.3467 0.3509  0.00
12 F 0.9679 0.6212 0.3509  0.00
13 F 0.6212 0.9679 0.8509  0.00
14 F 0.6533 0.0321 0.3509  0.00
15 F 0.0321 0.3788 0.6491  0.00
16 F 0.3788 0.0321 0.1491  0.00
17 F 0.6212 0.6533 0.6491  0.00
18 F 0.3467 0.3788 0.8509  0.00

Calculated values
Space group ... P-31c (163)
E_form (uncorrected) ... -1.987 eV/atom

---

Record 10
VASP calculation (PBE) on a relaxed structure of CdIrN2F.

a b c (Å): 4.1889 4.1889 4.0766
angles (deg): 90.00 90.00 90.00
Each line ends with the local moment (μB).
Element x y z (fractional)
1 N 0.0000 0.5000 0.0000  0.04
2 N 0.5000 0.0000 0.0000  0.04
3 F 0.0000 0.0000 0.5000  0.07
4 Ir 0.5000 0.5000 0.5000  1.42
5 Cd 0.0000 0.0000 0.0000  0.01

Calculated values
Space group ... P4/mmm (123)
E_form (uncorrected) ... 1.976 eV/atom
ΔE to the lowest computed polymorph ... 1696 meV per atom

---

Record 11
VASP calculation (PBE) on a relaxed structure of CdIrN2F.

a b c (Å): 3.6972 3.6972 6.7693
angles (deg): 90.00 90.00 90.00
Each line ends with the local moment (μB).
Element x y z (fractional)
1 N 0.0000 0.5000 0.0000  0.16
2 N 0.5000 0.0000 0.0000  0.16
3 F 0.0000 0.0000 0.5000  0.01
4 Ir 0.0000 0.0000 0.0000  -0.01
5 Cd 0.5000 0.5000 0.5000  0.01

Calculated values
Space group ... P4/mmm (123)
E_form (uncorrected) ... 0.280 eV/atom
ΔE to the lowest computed polymorph ... 0 meV per atom

---

Record 12
VASP calculation (PBE) on a relaxed structure of CdIrOF2.

a b c (Å): 4.2706 4.2706 4.3940
angles (deg): 90.00 90.00 90.00
Each line ends with the local moment (μB).
Element x y z (fractional)
1 F 0.0000 0.5000 0.0000  0.05
2 F 0.5000 0.0000 0.0000  0.05
3 Ir 0.5000 0.5000 0.5000  2.42
4 O 0.0000 0.0000 0.5000  0.23
5 Cd 0.0000 0.0000 0.0000  0.03

Calculated values
Space group ... P4/mmm (123)
E_form (uncorrected) ... 0.067 eV/atom
ΔE to the lowest computed polymorph ... 768 meV per atom

---

Record 13
VASP calculation (PBE) on a relaxed structure of CdIrOF2.

a b c (Å): 4.5313 4.5313 3.7133
angles (deg): 90.00 90.00 90.00
Element x y z (fractional)
1 F 0.0000 0.5000 0.0000
2 F 0.5000 0.0000 0.0000
3 Ir 0.0000 0.0000 0.0000
4 O 0.0000 0.0000 0.5000
5 Cd 0.5000 0.5000 0.5000

Calculated values
Space group ... P4/mmm (123)
E_form (uncorrected) ... -0.700 eV/atom
ΔE to the lowest computed polymorph ... 0 meV per atom

---

Record 14
VASP calculation (PBE) on a relaxed structure of CdIrO2F.

a b c (Å): 4.2051 4.2051 4.2198
angles (deg): 90.00 90.00 90.00
Each line ends with the local moment (μB).
Element x y z (fractional)
1 F 0.0000 0.0000 0.5000  0.08
2 Ir 0.5000 0.5000 0.5000  2.44
3 O 0.0000 0.5000 0.0000  0.35
4 O 0.5000 0.0000 0.0000  0.35
5 Cd 0.0000 0.0000 0.0000  0.02

Calculated values
Space group ... P4/mmm (123)
E_form (uncorrected) ... 0.574 eV/atom

---

Record 15
VASP calculation (PBE) on a relaxed structure of CdIrO2F.

a b c (Å): 3.6906 3.6906 6.6604
angles (deg): 90.00 90.00 90.00
Element x y z (fractional)
1 F 0.0000 0.0000 0.5000
2 Ir 0.0000 0.0000 0.0000
3 O 0.0000 0.5000 0.0000
4 O 0.5000 0.0000 0.0000
5 Cd 0.5000 0.5000 0.5000

Calculated values
Space group ... P4/mmm (123)
E_form (uncorrected) ... -0.716 eV/atom

---

Record 16
VASP calculation (PBE) on a relaxed structure of Rb2CdIrF6.

a b c (Å): 6.3000 6.3000 6.2970
angles (deg): 59.98 59.98 90.00
Element x y z (fractional)
1 F 0.2365 0.2365 0.5270
2 F 0.7635 0.7635 0.4730
3 F 0.2362 0.2362 0.0000
4 F 0.7638 0.7638 0.0000
5 F 0.7638 0.2362 0.0000
6 F 0.2362 0.7638 0.0000
7 Ir 0.0000 0.0000 0.0000
8 Rb 0.7500 0.2500 0.5000
9 Rb 0.2500 0.7500 0.5000
10 Cd 0.5000 0.5000 0.0000

Calculated values
Space group ... I4/mmm (139)
E_form (uncorrected) ... -1.943 eV/atom

---

Record 17
VASP calculation (PBE) on a relaxed structure of RbCdIrF6.

a b c (Å): 5.8527 5.8524 5.8620
angles (deg): 90.00 89.99 59.97
Each line ends with the local moment (μB).
Element x y z (fractional)
1 Rb 0.9999 0.0000 0.0000  0.00
2 Cd 0.6666 0.6666 0.5000  0.00
3 Ir 0.3333 0.3333 0.5000  -0.13
4 F 0.0319 0.3488 0.3137  0.00
5 F 0.3487 0.0319 0.6863  0.00
6 F 0.6193 0.3489 0.6864  0.00
7 F 0.0316 0.6195 0.6863  0.00
8 F 0.3489 0.6193 0.3136  0.00
9 F 0.6195 0.0317 0.3137  0.00

Calculated values
Space group ... P312 (149)
E_form (uncorrected) ... -1.984 eV/atom

---

Record 18
VASP calculation (PBE) on a relaxed structure of TaCdIrF2.

a b c (Å): 4.2222 5.0944 4.2222
angles (deg): 90.00 90.00 90.00
Each line ends with the local moment (μB).
Element x y z (fractional)
1 Cd 0.5000 0.5000 0.5000  0.06
2 F 0.0000 0.0000 0.5000  0.00
3 F 0.5000 0.0000 0.0000  0.01
4 Ir 0.0000 0.0000 0.0000  -0.12
5 Ta 0.0000 0.5000 0.0000  0.70

Calculated values
Space group ... P4/mmm (123)
E_form (uncorrected) ... 0.037 eV/atom

---

Record 19
VASP calculation (PBE) on a relaxed structure of KCdF2.

a b c (Å): 7.7409 7.7409 7.7409
angles (deg): 27.68 27.68 27.68
Element x y z (fractional)
1 K 0.5000 0.5000 0.5000
2 F 0.9018 0.9018 0.9018
3 F 0.0982 0.0982 0.0982
4 Cd 0.0000 0.0000 0.0000

Calculated values
Space group ... R-3m (166)
E_form (uncorrected) ... -1.967 eV/atom
ΔE to the lowest computed polymorph ... 0 meV per atom

---

Record 20
VASP calculation (PBE) on a relaxed structure of KCdF2.

a b c (Å): 4.6289 4.6289 4.6289
angles (deg): 60.00 60.00 60.00
Element x y z (fractional)
1 K 0.0000 0.0000 0.0000
2 F 0.2500 0.2500 0.2500
3 F 0.7500 0.7500 0.7500
4 Cd 0.5000 0.5000 0.5000

Calculated values
Space group ... Fm-3m (225)
E_form (uncorrected) ... -1.745 eV/atom
ΔE to the lowest computed polymorph ... 222 meV per atom

---

Record 21
VASP calculation (PBE) on a relaxed structure of KCd4F8.

a b c (Å): 5.7844 5.7844 5.7844
angles (deg): 90.00 90.00 90.00
Element x y z (fractional)
1 K 0.5000 0.5000 0.5000
2 Cd 0.0000 0.5000 0.5000
3 Cd 0.0000 0.0000 0.0000
4 Cd 0.5000 0.5000 0.0000
5 Cd 0.5000 0.0000 0.5000
6 F 0.2487 0.7513 0.7513
7 F 0.7513 0.2487 0.7513
8 F 0.7513 0.7513 0.2487
9 F 0.2487 0.2487 0.2487
10 F 0.2487 0.7513 0.2487
11 F 0.7513 0.2487 0.2487
12 F 0.7513 0.7513 0.7513
13 F 0.2487 0.2487 0.7513

Calculated values
Space group ... Pm-3m (221)
E_form (uncorrected) ... -1.943 eV/atom
ΔE to the lowest computed polymorph ... 180 meV per atom

---

Record 22
VASP calculation (PBE) on a relaxed structure of K3Cd2F9.

a b c (Å): 6.0809 6.0809 7.8669
angles (deg): 90.00 90.00 120.00
Each line ends with the local moment (μB).
Element x y z (fractional)
1 K 0.6667 0.3333 0.6215  0.00
2 K 0.0000 0.0000 0.0000  0.00
3 K 0.3333 0.6667 0.3785  0.00
4 Cd 0.6667 0.3333 0.1650  0.16
5 Cd 0.3333 0.6667 0.8350  0.16
6 F 0.1686 0.8314 0.6790  0.21
7 F 0.1686 0.3372 0.6790  0.21
8 F 0.5000 0.5000 0.0000  0.11
9 F 0.8314 0.6628 0.3210  0.21
10 F 0.3372 0.1686 0.3210  0.21
11 F 0.6628 0.8314 0.6790  0.21
12 F 0.8314 0.1686 0.3210  0.21
13 F 0.0000 0.5000 0.0000  0.11
14 F 0.5000 0.0000 0.0000  0.11

Calculated values
Space group ... P-3m1 (164)
E_form (uncorrected) ... -2.099 eV/atom

---

Record 23
VASP calculation (PBE) on a relaxed structure of KCdF4.

a b c (Å): 6.0905 6.4665 6.4665
angles (deg): 116.22 96.01 96.01
Each line ends with the local moment (μB).
Element x y z (fractional)
1 K 0.7500 0.6457 0.3543  0.00
2 K 0.2500 0.3543 0.6457  0.00
3 Cd 0.2500 0.9991 0.0009  0.00
4 Cd 0.7500 0.0009 0.9991  0.00
5 F 0.9570 0.6880 0.7847  0.24
6 F 0.0179 0.9503 0.2485  0.21
7 F 0.5430 0.2153 0.3120  0.24
8 F 0.4821 0.7515 0.0497  0.21
9 F 0.5179 0.2485 0.9503  0.21
10 F 0.4570 0.7847 0.6880  0.24
11 F 0.9821 0.0497 0.7515  0.21
12 F 0.0430 0.3120 0.2153  0.24

Calculated values
Space group ... C2/c (15)
E_form (uncorrected) ... -1.925 eV/atom
ΔE to the lowest computed polymorph ... 56 meV per atom

---

Record 24
VASP calculation (PBE) on a relaxed structure of KCd3F6.

a b c (Å): 3.5775 7.2780 7.2780
angles (deg): 110.41 90.00 90.00
Element x y z (fractional)
1 K 0.0000 0.5000 0.5000
2 Cd 0.5000 0.5000 0.0000
3 Cd 0.0000 0.0000 0.0000
4 Cd 0.5000 0.0000 0.5000
5 F 0.0000 0.0753 0.3381
6 F 0.0000 0.9247 0.6619
7 F 0.0000 0.3381 0.0753
8 F 0.0000 0.6619 0.9247
9 F 0.5000 0.6735 0.3265
10 F 0.5000 0.3265 0.6735

Calculated values
Space group ... Cmmm (65)
E_form (uncorrected) ... -2.148 eV/atom

---

Record 25
VASP calculation (PBE) on a relaxed structure of KCd2F4.

a b c (Å): 3.5797 6.0481 11.6861
angles (deg): 90.00 90.00 107.21
Element x y z (fractional)
1 K 0.6156 0.2312 0.7500
2 K 0.3844 0.7688 0.2500
3 Cd 0.1271 0.2543 0.4335
4 Cd 0.8729 0.7457 0.9335
5 Cd 0.1271 0.2543 0.0665
6 Cd 0.8729 0.7457 0.5665
7 F 0.7617 0.5233 0.1069
8 F 0.7617 0.5233 0.3931
9 F 0.2383 0.4767 0.8931
10 F 0.2383 0.4767 0.6069
11 F 0.9452 0.8905 0.7500
12 F 0.0548 0.1095 0.2500
13 F 0.5000 0.0000 0.0000
14 F 0.5000 0.0000 0.5000

Calculated values
Space group ... Cmcm (63)
E_form (uncorrected) ... -2.109 eV/atom